The following is a DFT calculation (GGA-PBE) of crystalline Ca2MnCrSe at its relaxed geometry.

Structure (extended XYZ):
```
5
Lattice="-2.887 3.094 3.798 -0.583 -3.691 2.564 4.844 1.144 2.749" Properties=species:S:1:pos:R:3 pbc="T T T"
Cr 0.000 0.000 0.000
Se -0.292 -1.846 1.282
Ca 2.422 0.572 1.375
Mn 0.687 0.274 4.556
Ca -1.443 1.547 1.899
```

Computed properties:
- SG: P4/mmm (123)
- Total energy: -4.81 eV/atom
- Mass density: 3.02 Mg/m³
- Crystal system: tetragonal